LuSc2As: relaxed, PBE.

The structure belongs to space group F-43m (No. 216); the cell edges are 6.954, 6.954 and 6.954 Å and the angles 90.00°, 90.00° and 90.00°. The inequivalent atoms are Lu at (0.000, 0.000, 0.000), Sc at (0.000, 0.000, 0.500), Sc at (0.250, 0.250, 0.250) and As at (0.250, 0.250, 0.750).

The density comes out at 6.7 g/cm³. The calculation puts the total energy at -5.628 eV/atom.